Density functional theory data (GGA-PBE) for an optimized crystal structure of DyY2NiPt2Pb3.

Cell lengths 3.790, 7.818, 7.818 Å; angles 119.89, 90.00, 90.00 degrees
Sites, in units of the cell vectors:
Pb1 0.500 0.745 0.000
Pb2 0.500 0.255 0.255
Pb3 0.500 0.000 0.745
Pt1 0.500 0.334 0.667
Pt2 0.500 0.667 0.334
Dy1 0.000 0.597 0.597
Y1 0.000 0.403 0.000
Y2 0.000 0.000 0.403
Ni1 0.000 0.000 0.000

Properties
calculated density: 11.7 g cm⁻³
VASP energy: -53.1 eV/cell
magnetic moment: 0.00 μB per formula unit
space-group type: Amm2

Density functional theory data (GGA-PBE) for an optimized crystal structure of DyScNi2Pb.

Cell lengths 3.559, 7.293, 7.293 Å; angles 31.20, 90.00, 90.00 degrees
Sites, in units of the cell vectors:
Sc1 0.500 0.642 0.642
Ni1 0.000 0.196 0.196
Ni2 0.000 0.798 0.798
Pb1 0.000 0.005 0.005
Dy1 0.500 0.359 0.359

Properties
calculated density: 9.0 g cm⁻³
VASP energy: -28.2 eV/cell
magnetic moment: 0.00 μB per formula unit
space-group type: Amm2

Density functional theory data (GGA-PBE) for an optimized crystal structure of SmDyNi2Pb.

Cell lengths 3.687, 7.423, 7.423 Å; angles 31.36, 90.00, 90.00 degrees
Sites, in units of the cell vectors:
Pb1 0.500 0.001 0.001
Dy1 0.000 0.640 0.640
Sm1 0.000 0.360 0.360
Ni1 0.500 0.200 0.200
Ni2 0.500 0.798 0.798

Properties
calculated density: 10.0 g cm⁻³
VASP energy: -26.6 eV/cell
magnetic moment: 0.00 μB per formula unit
space-group type: Amm2

Density functional theory data (GGA-PBE) for an optimized crystal structure of DyYNi2Pb.

Cell lengths 3.675, 7.408, 7.408 Å; angles 31.38, 90.00, 90.00 degrees
Sites, in units of the cell vectors:
Pb1 0.000 0.000 0.000
Ni1 0.000 0.200 0.200
Ni2 0.000 0.799 0.799
Dy1 0.500 0.640 0.640
Y1 0.500 0.361 0.361

Properties
calculated density: 9.1 g cm⁻³
VASP energy: -28.5 eV/cell
magnetic moment: 0.00 μB per formula unit
space-group type: Amm2

Density functional theory data (GGA-PBE) for an optimized crystal structure of DyNiPd.

Cell lengths 4.364, 4.364, 4.364 Å; angles 60.00, 60.00, 60.00 degrees
Sites, in units of the cell vectors:
Ni1 0.000 0.000 0.000
Pd1 0.750 0.750 0.750
Dy1 0.250 0.250 0.250

Properties
energy of formation: -0.415 eV/atom
calculated density: 9.3 g cm⁻³
E above lowest polymorph: 0.00 eV per formula unit
magnetic moment: 0.00 μB per formula unit
space-group type: F-43m

Density functional theory data (GGA-PBE) for an optimized crystal structure of Dy7Ni2Pd2.

Cell lengths 9.190, 9.190, 9.190 Å; angles 156.64, 66.53, 118.70 degrees
Sites, in units of the cell vectors:
Ni1 0.151 0.394 0.758
Ni2 0.636 0.394 0.242
Dy1 0.507 0.507 0.000
Dy2 0.791 0.097 0.694
Dy3 0.777 0.894 0.883
Dy4 0.403 0.097 0.306
Dy5 0.373 0.744 0.629
Dy6 0.116 0.744 0.371
Dy7 0.011 0.894 0.117
Pd1 0.736 0.236 0.500
Pd2 0.145 0.145 0.000

Properties
energy of formation: -0.476 eV/atom
calculated density: 9.1 g cm⁻³
magnetic moment: 0.01 μB per formula unit
space-group type: Imm2